Compound: PrSm2Pt9
Source: OQMD
Functional: GGA-PBE
Structure: optimized geometry

Lattice parameters (Å, degrees): 9.419 9.419 9.419 33.63 33.63 33.63
Positions (direct):
Pt (0.500, 0.500, 0.500)
Pt (0.667, 0.667, 0.667)
Pt (0.587, 0.081, 0.587)
Pt (0.919, 0.413, 0.413)
Pt (0.587, 0.587, 0.081)
Pt (0.413, 0.919, 0.413)
Pt (0.081, 0.587, 0.587)
Pt (0.333, 0.333, 0.333)
Pt (0.413, 0.413, 0.919)
Sm (0.140, 0.140, 0.140)
Sm (0.860, 0.860, 0.860)
Pr (0.000, 0.000, 0.000)

Calculated values
Energy relative to the elements, eV/f.u.: -11.04
SG: R-3m

=====

Compound: PrSmPt
Source: OQMD
Functional: GGA-PBE
Structure: optimized geometry

Lattice parameters (Å, degrees): 7.344 4.904 9.029 90.00 90.00 90.00
Positions (direct):
Pr (0.008, 0.250, 0.329)
Pr (0.492, 0.750, 0.829)
Pr (0.992, 0.750, 0.671)
Pr (0.508, 0.250, 0.171)
Sm (0.355, 0.750, 0.416)
Sm (0.645, 0.250, 0.584)
Sm (0.855, 0.750, 0.084)
Sm (0.145, 0.250, 0.916)
Pt (0.748, 0.250, 0.911)
Pt (0.752, 0.750, 0.411)
Pt (0.248, 0.250, 0.589)
Pt (0.252, 0.750, 0.089)

Calculated values
Distance to the lowest polymorph of the same formula, meV per atom: 0
Energy relative to the elements, eV/f.u.: -2.49
SG: Pnma

=====

Compound: Pr2SmPt9
Source: OQMD
Functional: GGA-PBE
Structure: optimized geometry

Lattice parameters (Å, degrees): 9.480 9.480 9.480 33.38 33.38 33.38
Positions (direct):
Pt (0.585, 0.585, 0.081)
Pt (0.667, 0.667, 0.667)
Pt (0.500, 0.500, 0.500)
Pt (0.333, 0.333, 0.333)
Pt (0.081, 0.585, 0.585)
Pt (0.919, 0.415, 0.415)
Pt (0.585, 0.081, 0.585)
Pt (0.415, 0.919, 0.415)
Pt (0.415, 0.415, 0.919)
Pr (0.139, 0.139, 0.139)
Pr (0.861, 0.861, 0.861)
Sm (0.000, 0.000, 0.000)

Calculated values
Energy relative to the elements, eV/f.u.: -10.63
SG: R-3m

=====

Compound: PrSn2Pt2
Source: OQMD
Functional: GGA-PBE
Structure: optimized geometry

Lattice parameters (Å, degrees): 4.589 4.589 6.339 111.22 111.22 90.00
Positions (direct):
Pt (0.378, 0.378, 0.756)
Pt (0.622, 0.622, 0.244)
Sn (0.250, 0.750, 0.500)
Sn (0.750, 0.250, 0.500)
Pr (0.000, 0.000, 0.000)

Calculated values
Energy, eV per atom: -5.760
SG: I4/mmm

=====

Compound: Pr2TlSnPt4
Source: OQMD
Functional: GGA-PBE
Structure: optimized geometry

Lattice parameters (Å, degrees): 4.674 4.674 9.344 90.00 90.00 120.00
Positions (direct):
Pr (0.333, 0.667, 0.251)
Pr (0.667, 0.333, 0.749)
Sn (0.000, 0.000, 0.000)
Pt (0.333, 0.667, 0.913)
Pt (0.667, 0.333, 0.405)
Pt (0.667, 0.333, 0.087)
Pt (0.333, 0.667, 0.595)
Tl (0.000, 0.000, 0.500)

Calculated values
Energy, eV per atom: -5.824
SG: P-3m1

=====

Compound: PrTmSn2Pt4
Source: OQMD
Functional: GGA-PBE
Structure: optimized geometry

Lattice parameters (Å, degrees): 4.591 4.591 9.227 90.00 90.00 120.00
Positions (direct):
Pt (0.000, 0.000, 0.346)
Pt (0.333, 0.667, 0.171)
Pt (0.000, 0.000, 0.654)
Pt (0.333, 0.667, 0.829)
Sn (0.667, 0.333, 0.257)
Sn (0.667, 0.333, 0.743)
Pr (0.000, 0.000, 0.000)
Tm (0.333, 0.667, 0.500)

Calculated values
Energy, eV per atom: -6.152
SG: P-6m2

=====

Compound: Sr2PrPt9
Source: OQMD
Functional: GGA-PBE
Structure: optimized geometry

Lattice parameters (Å, degrees): 9.528 9.528 9.528 33.37 33.37 33.37
Positions (direct):
Sr (0.142, 0.142, 0.142)
Sr (0.858, 0.858, 0.858)
Pt (0.081, 0.584, 0.584)
Pt (0.500, 0.500, 0.500)
Pt (0.584, 0.584, 0.081)
Pt (0.333, 0.333, 0.333)
Pt (0.667, 0.667, 0.667)
Pt (0.584, 0.081, 0.584)
Pt (0.416, 0.416, 0.919)
Pt (0.919, 0.416, 0.416)
Pt (0.416, 0.919, 0.416)
Pr (0.000, 0.000, 0.000)

Calculated values
Energy, eV per atom: -5.990
SG: R-3m

=====

Compound: SrPrPt
Source: OQMD
Functional: GGA-PBE
Structure: optimized geometry

Lattice parameters (Å, degrees): 5.107 5.107 5.107 60.00 60.00 60.00
Positions (direct):
Pt (0.000, 0.000, 0.000)
Sr (0.750, 0.750, 0.750)
Pr (0.250, 0.250, 0.250)

Calculated values
Distance to the lowest polymorph of the same formula, meV per atom: 0
SG: F-43m

=====

Compound: Tb3PrPt4
Source: OQMD
Functional: GGA-PBE
Structure: optimized geometry

Lattice parameters (Å, degrees): 5.631 4.562 7.170 90.00 90.61 90.00
Positions (direct):
Tb (0.859, 0.500, 0.315)
Tb (0.640, 0.500, 0.820)
Tb (0.360, 0.000, 0.182)
Pt (0.653, 0.000, 0.539)
Pt (0.350, 0.500, 0.445)
Pt (0.157, 0.500, 0.968)
Pt (0.840, 0.000, 0.049)
Pr (0.141, 0.000, 0.682)

Calculated values
Energy relative to the elements, eV/f.u.: -9.83
SG: Pm

=====

Compound: TbPr3Pt4
Source: OQMD
Functional: GGA-PBE
Structure: optimized geometry

Lattice parameters (Å, degrees): 5.715 4.611 7.319 90.00 90.59 90.00
Positions (direct):
Pt (0.852, 0.000, 0.962)
Pt (0.152, 0.500, 0.056)
Pt (0.656, 0.000, 0.452)
Pt (0.340, 0.500, 0.533)
Pr (0.861, 0.500, 0.680)
Pr (0.360, 0.000, 0.816)
Pr (0.641, 0.500, 0.184)
Tb (0.140, 0.000, 0.317)

Calculated values
Energy relative to the elements, eV/f.u.: -9.22
SG: Pm

=====

Compound: TbPrPt2
Source: OQMD
Functional: GGA-PBE
Structure: optimized geometry

Lattice parameters (Å, degrees): 4.589 7.254 5.679 90.00 90.00 90.00
Positions (direct):
Tb (0.000, 0.435, 0.860)
Tb (0.500, 0.565, 0.360)
Pt (0.000, 0.780, 0.155)
Pt (0.000, 0.309, 0.346)
Pt (0.500, 0.691, 0.846)
Pt (0.500, 0.220, 0.655)
Pr (0.500, 0.070, 0.140)
Pr (0.000, 0.930, 0.640)

Calculated values
Distance to the lowest polymorph of the same formula, meV per atom: 0
Energy relative to the elements, eV/f.u.: -4.78
SG: Pmn2_1

=====

Compound: TbPrPt2
Source: OQMD
Functional: GGA-PBE
Structure: optimized geometry

Lattice parameters (Å, degrees): 4.587 5.673 7.235 90.00 90.00 90.00
Positions (direct):
Pt (0.000, 0.100, 0.457)
Pt (0.500, 0.408, 0.545)
Pt (0.000, 0.900, 0.957)
Pt (0.500, 0.592, 0.045)
Pr (0.500, 0.110, 0.181)
Pr (0.500, 0.890, 0.681)
Tb (0.000, 0.391, 0.817)
Tb (0.000, 0.609, 0.317)

Calculated values
Distance to the lowest polymorph of the same formula, meV per atom: 12
Energy relative to the elements, eV/f.u.: -4.73
SG: Pmc2_1

=====

| no. | total magnetization (μB/cell) |
| --- | --- |
| 1 | 0.00 |
| 2 | 0.00 |
| 3 | 0.00 |
| 4 | 0.00 |
| 5 | 0.00 |
| 6 | 0.00 |
| 7 | 0.00 |
| 8 | 0.01 |
| 9 | 0.00 |
| 10 | 0.00 |
| 11 | 0.00 |
| 12 | 0.00 |